Computed, not measured: a relaxed structure of Li3Ce3FeS8 at the PBE level of DFT.

abc: 7.7421 7.7421 18.4337
angles: 90.00 90.00 120.00
Space group R-3m (No. 166, hexagonal axes)
Asymmetric unit:
Li: 0.0000 0.5000 0.0000 [9 per cell]
Ce: 0.0000 0.5000 0.5000 [9 per cell]
Fe: 0.0000 0.0000 0.5000 [3 per cell]
S: 0.0000 0.0000 0.2546 [6 per cell]
S: 0.0428 0.5214 0.2434 [18 per cell]

**Spin magnetization**: 0.07 μB per atom
**Calculated density**: 3.9 g/cm3
**DFT total energy**: -258.51 eV per cell
**Formation energy without anion corrections**: -1.41 eV/atom